Record 1
## Sc2NbH6 (PBE)

Data for a relaxed structure of Sc2NbH6.

a = 5.665 Å, b = 5.665 Å, c = 3.369 Å
α = 107.15°, β = 107.15°, γ = 48.22°
Sites, in units of the cell vectors:
1 Sc 0.163 0.163 0.163
2 Sc 0.837 0.837 0.837
3 Nb 0.500 0.500 0.500
4 H 0.092 0.584 0.338
5 H 0.273 0.727 0.000
6 H 0.416 0.908 0.662
7 H 0.584 0.092 0.338
8 H 0.727 0.273 0.000
9 H 0.908 0.416 0.662

Properties
SG: No. 12
N(E_F) in states/eV per atom: 0.279
Volume in Å³/cell: 76.3
Raw total energy in eV for the cell shown: -47.7

=====

Record 2
## Sc2NbH8 (PBE)

Data for a relaxed structure of Sc2NbH8.

a = 5.605 Å, b = 5.605 Å, c = 5.605 Å
α = 144.94°, β = 129.63°, γ = 62.84°
Sites, in units of the cell vectors:
1 Sc 0.171 0.171 0.000
2 Sc 0.829 0.829 0.000
3 Nb 0.500 0.500 0.000
4 H 0.080 0.346 0.734
5 H 0.248 0.000 0.248
6 H 0.338 0.838 0.500
7 H 0.388 0.654 0.734
8 H 0.612 0.346 0.266
9 H 0.662 0.162 0.500
10 H 0.752 0.000 0.752
11 H 0.920 0.654 0.266

Properties
SG: No. 71
N(E_F) in states/eV per atom: 0.233
Volume in Å³/cell: 77.0
Raw total energy in eV for the cell shown: -53.4

=====

Record 3
## ScNbH2 (PBE)

Data for a relaxed structure of ScNbH2.

a = 5.094 Å, b = 5.094 Å, c = 5.094 Å
α = 121.33°, β = 121.33°, γ = 87.71°
Sites, in units of the cell vectors:
1 Sc 0.000 0.000 0.000
2 Sc 0.750 0.250 0.500
3 Nb 0.250 0.750 0.500
4 Nb 0.500 0.500 0.000
5 H 0.142 0.625 0.017
6 H 0.375 0.392 0.517
7 H 0.608 0.125 0.983
8 H 0.875 0.858 0.483

Properties
E above lowest polymorph in eV/atom: 0.000
SG: No. 122
N(E_F) in states/eV per atom: 0.509
Volume in Å³/cell: 91.5

=====

Record 4
## Sc3NbH (PBE)

Data for a relaxed structure of Sc3NbH.

a = 5.119 Å, b = 5.119 Å, c = 5.119 Å
α = 90.00°, β = 90.00°, γ = 90.00°
Sites, in units of the cell vectors:
1 Sc 0.000 0.000 0.500
2 Sc 0.000 0.500 0.000
3 Sc 0.500 0.000 0.000
4 Nb 0.000 0.000 0.000
5 H 0.500 0.500 0.500

Properties
E above lowest polymorph in eV/atom: 1.213
SG: No. 221
N(E_F) in states/eV per atom: 2.932
Volume in Å³/cell: 134.1